Record 1
This record from the Alexandria database describes an optimized crystal structure of Cs2CaPdBr6. The functional is PBE.

abc: 7.907 7.907 13.984
angles: 73.58 73.58 60.00
Last column: magnetic moment on the atom in μB.
Sites, in units of the cell vectors:
Cs 0.874 0.874 0.377  0.00
Cs 0.126 0.126 0.623  0.00
Cs 0.706 0.706 0.883  0.00
Cs 0.294 0.294 0.117  0.00
Ca 0.586 0.586 0.243  0.02
Ca 0.414 0.414 0.757  0.02
Pd 0.000 0.000 0.000  1.08
Pd 0.500 0.500 0.500  1.05
Br 0.862 0.378 0.382  0.12
Br 0.378 0.862 0.382  0.12
Br 0.378 0.378 0.382  0.12
Br 0.138 0.622 0.618  0.12
Br 0.622 0.138 0.618  0.12
Br 0.622 0.622 0.618  0.12
Br 0.720 0.199 0.882  0.10
Br 0.199 0.720 0.882  0.10
Br 0.199 0.199 0.882  0.10
Br 0.280 0.801 0.118  0.10
Br 0.801 0.280 0.118  0.10
Br 0.801 0.801 0.118  0.10

The calculation puts the uncorrected energy at -65.63 eV for the cell shown. Its density of states at the Fermi level is 3.35 states/eV per cell. The calculation puts the formation energy from raw total energies at -133.9 kJ/mol of atoms.

***

Record 2
This record from the Alexandria database describes an optimized crystal structure of Cs2CaPdBr6. The functional is PBE.

abc: 7.896 7.896 7.899
angles: 60.01 60.01 90.00
Last column: magnetic moment on the atom in μB.
Sites, in units of the cell vectors:
Cs 0.750 0.250 0.500  0.00
Cs 0.250 0.750 0.500  0.00
Ca 0.500 0.500 0.000  0.05
Br 0.241 0.241 0.518  0.10
Br 0.759 0.759 0.482  0.10
Br 0.241 0.241 0.000  0.10
Br 0.759 0.759 0.000  0.10
Br 0.759 0.241 0.000  0.10
Br 0.241 0.759 0.000  0.10
Pd 0.000 0.000 0.000  1.09

The calculation puts the uncorrected energy at -32.55 eV for the cell shown. Its density of states at the Fermi level is 0.00 states/eV per cell. The calculation puts the formation energy from raw total energies at -131.4 kJ/mol of atoms.

***

Record 3
This record from the Alexandria database describes an optimized crystal structure of CsCa2PmBr8. The functional is PBE.

abc: 7.175 6.895 9.376
angles: 89.91 89.95 89.13
Sites, in units of the cell vectors:
Cs 0.000 0.000 0.500
Ca 0.500 0.500 0.746
Ca 0.500 0.500 0.254
Pm 0.000 0.000 0.000
Br 0.171 0.748 0.207
Br 0.672 0.738 0.000
Br 0.828 0.251 0.207
Br 0.829 0.252 0.793
Br 0.328 0.262 0.000
Br 0.172 0.749 0.793
Br 0.604 0.729 0.500
Br 0.396 0.271 0.500

The calculation puts the uncorrected energy at -45.66 eV for the cell shown. Its density of states at the Fermi level is 0.00 states/eV per cell. The calculation puts the formation energy from raw total energies at -182.3 kJ/mol of atoms.